Below is KHgAu2 at its PBEsol-relaxed geometry, with properties calculated at the SCAN level.

## Properties
**Calculated formation energy**: -1.1 eV per formula unit
**Total energy**: -53.969 eV/atom
**Spin magnetization**: 0.00 μB per cell

Geometry as extended XYZ:
```
4
Lattice="2.3628 1.3642 5.6272 -2.3628 1.3642 5.6272 0.0000 -2.7283 5.6272" Properties=species:S:1:pos:R:3 pbc="T T T"
K 0.0000 0.0000 0.0000
Hg 0.0000 0.0000 3.3115
Au 0.0000 0.0000 8.1299
Au 0.0000 0.0000 13.5863
```

---

Below is ZrZnRh at its PBEsol-relaxed geometry, with properties calculated at the SCAN level.

## Properties
**Calculated formation energy**: -2.0 eV per formula unit
**Total energy**: -26.648 eV/atom
**Spin magnetization**: 0.00 μB per cell

Geometry as extended XYZ:
```
3
Lattice="-1.5412 1.8159 4.2816 1.5412 -1.8159 4.2816 1.5412 1.8159 -4.2816" Properties=species:S:1:pos:R:3 pbc="T T T"
Zr 0.0000 0.0000 0.0000
Zn 0.0000 0.0000 2.7527
Rh 0.0000 0.0000 5.7253
```

---

Below is GeC3Cl at its PBEsol-relaxed geometry, with properties calculated at the SCAN level.

## Properties
**ΔE_f (raw)**: 2.9465 eV/atom
**Total energy**: -8.527 eV/atom
**Spin magnetization**: 2.31 μB per cell

Geometry as extended XYZ:
```
5
Lattice="4.0079 0.0000 0.0000 0.0000 4.0079 0.0000 0.0000 0.0000 4.0079" Properties=species:S:1:pos:R:3 pbc="T T T"
Ge 0.0000 0.0000 0.0000
C 0.0000 0.0000 2.0040
C 0.0000 2.0040 0.0000
C 2.0040 0.0000 0.0000
Cl 2.0040 2.0040 2.0040
```

---

Below is La2TlAg at its PBEsol-relaxed geometry, with properties calculated at the SCAN level.

## Properties
**Calculated formation energy**: -1.6 eV per formula unit
**Total energy**: -47.890 eV/atom
**Spin magnetization**: 0.10 μB per cell

Geometry as extended XYZ:
```
4
Lattice="-1.9359 2.5702 5.4950 1.9359 -2.5702 5.4950 1.9359 2.5702 -5.4950" Properties=species:S:1:pos:R:3 pbc="T T T"
La 0.0000 0.0000 0.0000
La 0.0000 2.5702 2.4185
Tl 1.9359 0.0000 3.0887
Ag 0.0000 0.0000 5.2588
```

---

Below is Rb3CuAu at its PBEsol-relaxed geometry, with properties calculated at the SCAN level.

## Properties
**Calculated formation energy**: 1.2 eV per formula unit
**Total energy**: -29.074 eV/atom
**Spin magnetization**: 0.01 μB per cell

Geometry as extended XYZ:
```
5
Lattice="6.4075 0.0000 0.0000 0.0000 6.4075 0.0000 0.0000 0.0000 6.4075" Properties=species:S:1:pos:R:3 pbc="T T T"
Rb 0.0000 0.0000 3.2038
Rb 0.0000 3.2038 0.0000
Rb 3.2038 0.0000 0.0000
Cu 3.2038 3.2038 3.2038
Au 0.0000 0.0000 0.0000
```

---

Below is BaRe3Pb at its PBEsol-relaxed geometry, with properties calculated at the SCAN level.

## Properties
**Calculated formation energy**: 19.4 eV per formula unit
**Total energy**: -61.851 eV/atom
**Spin magnetization**: 4.16 μB per cell

Geometry as extended XYZ:
```
5
Lattice="5.0133 0.0000 0.0000 0.0000 5.0133 0.0000 0.0000 0.0000 5.0133" Properties=species:S:1:pos:R:3 pbc="T T T"
Ba 0.0000 0.0000 0.0000
Re 0.0000 0.0000 2.5066
Re 0.0000 2.5066 0.0000
Re 2.5066 0.0000 0.0000
Pb 2.5066 2.5066 2.5066
```

---

Below is Mg4Sc5 at its PBEsol-relaxed geometry, with properties calculated at the SCAN level.

## Properties
**Calculated formation energy**: -0.1 eV per formula unit
**Total energy**: -10.133 eV/atom
**Spin magnetization**: 3.14 μB per cell

Geometry as extended XYZ:
```
9
Lattice="-4.7960 4.7960 2.2523 4.7960 -4.7960 2.2523 4.7960 4.7960 -2.2523" Properties=species:S:1:pos:R:3 pbc="T T T"
Mg 3.2149 0.0000 0.0000
Mg 6.3772 0.0000 0.0000
Mg 0.0000 3.2149 0.0000
Mg 0.0000 6.3772 0.0000
Sc 0.0000 0.0000 0.0000
Sc 3.2081 3.2081 0.0000
Sc 1.5879 -1.5879 2.2523
Sc -1.5879 1.5879 2.2523
Sc 1.5879 1.5879 2.2523
```

---

Below is Mg2MnSe at its PBEsol-relaxed geometry, with properties calculated at the SCAN level.

## Properties
**ΔE_f (raw)**: 0.0391 eV/atom
**Total energy**: -12.031 eV/atom
**Spin magnetization**: 0.00 μB per cell

Geometry as extended XYZ:
```
4
Lattice="3.0433 0.0000 0.0000 0.0000 3.0433 0.0000 0.0000 0.0000 7.4350" Properties=species:S:1:pos:R:3 pbc="T T T"
Mg 0.0000 0.0000 0.0000
Mg 1.5217 1.5217 2.3769
Mn 0.0000 0.0000 4.2390
Se 1.5217 1.5217 5.2813
```

---

Below is Bi2Ru2I at its PBEsol-relaxed geometry, with properties calculated at the SCAN level.

## Properties
**ΔE_f (raw)**: 0.6770 eV/atom
**Total energy**: -52.034 eV/atom
**Spin magnetization**: 0.00 μB per cell

Geometry as extended XYZ:
```
5
Lattice="-2.3367 2.3367 5.3701 2.3367 -2.3367 5.3701 2.3367 2.3367 -5.3701" Properties=species:S:1:pos:R:3 pbc="T T T"
Bi 2.3367 0.0000 2.6851
Bi 0.0000 2.3367 2.6851
Ru 0.0000 0.0000 1.1725
Ru 0.0000 0.0000 9.5677
I 0.0000 0.0000 5.3701
```

---

Below is RbCdCoSn2 at its PBEsol-relaxed geometry, with properties calculated at the SCAN level.

## Properties
**Calculated formation energy**: 1.3 eV per formula unit
**Total energy**: -27.807 eV/atom
**Spin magnetization**: 0.00 μB per cell

Geometry as extended XYZ:
```
5
Lattice="4.8189 0.0000 0.0000 0.0000 4.8189 0.0000 0.0000 0.0000 6.1362" Properties=species:S:1:pos:R:3 pbc="T T T"
Rb 0.0000 0.0000 0.0000
Cd 2.4095 2.4095 0.0000
Co 0.0000 0.0000 3.0681
Sn 0.0000 2.4095 3.0681
Sn 2.4095 0.0000 3.0681
```

---

Below is IrRh2 at its PBEsol-relaxed geometry, with properties calculated at the SCAN level.

## Properties
**Calculated formation energy**: -0.1 eV per formula unit
**Total energy**: -46.234 eV/atom
**Spin magnetization**: 0.00 μB per cell

Geometry as extended XYZ:
```
12
Lattice="-1.8973 1.8973 11.3749 1.8973 -1.8973 11.3749 1.8973 1.8973 -11.3749" Properties=species:S:1:pos:R:3 pbc="T T T"
Ir 1.8973 0.9486 0.9380
Ir 1.8973 0.9486 4.7495
Ir 0.0000 0.9486 6.6254
Ir 0.0000 0.9486 10.4369
Rh 1.8973 -0.9486 6.6321
Rh 1.8973 0.9486 -2.8535
Rh 1.8973 -0.9486 10.4301
Rh 0.0000 0.9486 2.8340
Rh 1.8973 0.9486 8.5409
Rh 0.0000 2.8459 0.9447
Rh 0.0000 0.9486 14.2283
Rh 0.0000 2.8459 4.7427
```

---

Below is Ga7Te10 at its PBEsol-relaxed geometry, with properties calculated at the SCAN level.

## Properties
**ΔE_f (raw)**: -0.3261 eV/atom
**Total energy**: -28.969 eV/atom
**Spin magnetization**: 0.00 μB per cell

Geometry as extended XYZ:
```
34
Lattice="7.1266 4.1145 5.9171 -7.1266 4.1145 5.9171 0.0000 -8.2290 5.9171" Properties=species:S:1:pos:R:3 pbc="T T T"
Ga 0.0000 0.0000 1.2290
Ga -2.1811 -0.9844 4.7880
Ga -4.2053 1.0427 7.3798
Ga -4.2053 -1.0427 10.3715
Ga 1.1996 -4.1632 7.3798
Ga 1.9431 -1.3967 4.7880
Ga 0.2380 2.3811 4.7880
Ga -2.1811 0.9844 12.9632
Ga 0.2380 -2.3811 12.9632
Ga 3.0057 -3.1205 10.3715
Ga 3.0057 3.1205 7.3797
Ga 1.1996 4.1632 10.3715
Ga 1.9431 1.3967 12.9632
Ga 0.0000 0.0000 16.5222
Te -2.9110 -3.1871 5.9171
Te -4.7500 -3.5060 9.5567
Te -3.5702 1.2727 4.7908
Te 0.6829 -3.7282 4.7908
Te -0.6613 -5.8667 8.1945
Te -4.7500 3.5060 8.1945
Te -2.3977 0.0000 8.8756
Te 0.0000 0.0000 5.9642
Te -1.3047 4.1145 5.9171
Te -3.5702 -1.2727 12.9604
Te 1.1989 -2.0765 8.8756
Te 2.8873 2.4555 4.7908
Te 4.2156 -0.9274 5.9171
Te 0.0000 0.0000 11.7870
Te 1.1989 2.0765 8.8756
Te -0.6613 5.8667 9.5567
Te 5.4113 -2.3606 9.5567
Te 2.8872 -2.4555 12.9604
Te 0.6829 3.7282 12.9604
Te 5.4113 2.3606 8.1945
```

---

Below is Ta2Co2Pt at its PBEsol-relaxed geometry, with properties calculated at the SCAN level.

## Properties
**Calculated formation energy**: -2.1 eV per formula unit
**Total energy**: -48.011 eV/atom
**Spin magnetization**: 0.00 μB per cell

Geometry as extended XYZ:
```
10
Lattice="6.8103 0.0000 0.0000 0.0000 6.8103 0.0000 0.0000 0.0000 2.9768" Properties=species:S:1:pos:R:3 pbc="T T T"
Ta 1.1708 2.2344 0.0000
Ta 2.2344 5.6395 0.0000
Ta 4.5759 1.1708 0.0000
Ta 5.6395 4.5759 0.0000
Co 0.8752 4.2804 1.4884
Co 2.5299 0.8752 1.4884
Co 4.2804 5.9350 1.4884
Co 5.9350 2.5299 1.4884
Pt 0.0000 0.0000 1.4884
Pt 3.4051 3.4051 1.4884
```

---

Below is ScTaRe3 at its PBEsol-relaxed geometry, with properties calculated at the SCAN level.

## Properties
**Calculated formation energy**: 8.5 eV per formula unit
**Total energy**: -57.129 eV/atom
**Spin magnetization**: 1.73 μB per cell

Geometry as extended XYZ:
```
5
Lattice="4.7121 0.0000 0.0000 0.0000 4.7121 0.0000 0.0000 0.0000 4.7121" Properties=species:S:1:pos:R:3 pbc="T T T"
Sc 0.0000 0.0000 0.0000
Ta 2.3561 2.3561 2.3561
Re 0.0000 2.3561 2.3561
Re 2.3561 0.0000 2.3561
Re 2.3561 2.3561 0.0000
```

---

Below is Y5Pt4 at its PBEsol-relaxed geometry, with properties calculated at the SCAN level.

## Properties
**Calculated formation energy**: -12.5 eV per formula unit
**Total energy**: -48.053 eV/atom
**Spin magnetization**: 0.00 μB per cell

Geometry as extended XYZ:
```
36
Lattice="7.3961 0.0000 0.0000 0.0000 14.4605 0.0000 0.0000 0.0000 7.4978" Properties=species:S:1:pos:R:3 pbc="T T T"
Y 0.0075 1.3438 1.3488
Y 0.0075 5.8864 1.3488
Y 1.1606 1.7717 5.0055
Y 1.1606 5.4585 5.0055
Y 1.3346 10.8454 3.8373
Y 2.3635 3.6151 0.0884
Y 2.5374 9.0020 1.2566
Y 2.5374 12.6888 1.2566
Y 3.6905 8.5741 5.0977
Y 3.6905 13.1167 5.0977
Y 3.7055 1.3438 2.4001
Y 3.7055 5.8864 2.4001
Y 4.8586 1.7717 6.2412
Y 4.8586 5.4585 6.2412
Y 5.0326 10.8454 7.4094
Y 6.0615 3.6151 3.6605
Y 6.2355 9.0020 2.4923
Y 6.2355 12.6888 2.4923
Y 7.3886 8.5741 6.1490
Y 7.3886 13.1167 6.1490
Pt 0.3456 10.8454 0.8285
Pt 1.3450 7.8210 3.4986
Pt 1.3450 13.8698 3.4986
Pt 1.3789 3.6151 2.6820
Pt 2.3191 10.8454 6.4309
Pt 2.3530 0.5908 7.2475
Pt 2.3530 6.6395 7.2475
Pt 3.3525 3.6151 4.5774
Pt 4.0436 10.8454 2.9204
Pt 5.0431 7.8210 0.2503
Pt 5.0431 13.8698 0.2503
Pt 5.0769 3.6151 1.0669
Pt 6.0172 10.8454 4.8158
Pt 6.0510 0.5908 3.9992
Pt 6.0510 6.6395 3.9992
Pt 7.0505 3.6151 6.6693
```

---

Below is Ca2AlOs at its PBEsol-relaxed geometry, with properties calculated at the SCAN level.

## Properties
**Calculated formation energy**: 0.8 eV per formula unit
**Total energy**: -24.528 eV/atom
**Spin magnetization**: 0.00 μB per cell

Geometry as extended XYZ:
```
4
Lattice="0.0000 3.3922 3.3922 3.3922 0.0000 3.3922 3.3922 3.3922 0.0000" Properties=species:S:1:pos:R:3 pbc="T T T"
Ca 0.0000 0.0000 0.0000
Ca 1.6961 1.6961 1.6961
Al 5.0883 5.0883 5.0883
Os 3.3922 3.3922 3.3922
```

---

Below is MgOsCl2 at its PBEsol-relaxed geometry, with properties calculated at the SCAN level.

## Properties
**ΔE_f (raw)**: -0.0231 eV/atom
**Total energy**: -23.225 eV/atom
**Spin magnetization**: 0.00 μB per cell

Geometry as extended XYZ:
```
4
Lattice="7.6211 -1.4887 0.0000 7.6211 1.4887 0.0000 -0.8509 0.0000 3.5109" Properties=species:S:1:pos:R:3 pbc="T T T"
Mg 0.0000 0.0000 0.0000
Os 4.5666 0.0000 2.9809
Cl 8.3958 0.0000 2.0475
Cl 12.0566 0.0000 1.0906
```

---

Below is LaCo2Os at its PBEsol-relaxed geometry, with properties calculated at the SCAN level.

## Properties
**Calculated formation energy**: 2.9 eV per formula unit
**Total energy**: -36.673 eV/atom
**Spin magnetization**: 3.61 μB per cell

Geometry as extended XYZ:
```
4
Lattice="1.3977 0.8070 9.0616 -1.3977 0.8070 9.0616 0.0000 -1.6140 9.0616" Properties=species:S:1:pos:R:3 pbc="T T T"
La 0.0000 0.0000 0.0000
Co 0.0000 0.0000 6.4801
Co 0.0000 0.0000 13.7737
Os 0.0000 0.0000 20.8977
```

---

Below is SrTc2Rh at its PBEsol-relaxed geometry, with properties calculated at the SCAN level.

## Properties
**Calculated formation energy**: 3.5 eV per formula unit
**Total energy**: -30.678 eV/atom
**Spin magnetization**: 0.00 μB per cell

Geometry as extended XYZ:
```
4
Lattice="2.6149 -4.7224 0.0000 2.6149 4.7224 0.0000 0.0000 0.0000 2.7248" Properties=species:S:1:pos:R:3 pbc="T T T"
Sr 0.0000 0.0000 0.0000
Tc 1.3075 2.3612 1.3624
Tc 1.3075 -2.3612 1.3624
Rh 2.6149 0.0000 0.0000
```

---

Below is H2AuN at its PBEsol-relaxed geometry, with properties calculated at the SCAN level.

## Properties
**Total energy**: -19.591 eV/atom
**Spin magnetization**: 0.00 μB per cell

Geometry as extended XYZ:
```
4
Lattice="0.0000 2.4724 2.4724 2.4724 0.0000 2.4724 2.4724 2.4724 0.0000" Properties=species:S:1:pos:R:3 pbc="T T T"
H 1.2362 1.2362 1.2362
H 3.7086 3.7086 3.7086
Au 0.0000 0.0000 0.0000
N 2.4724 2.4724 2.4724
```

---

Below is LaYSc2 at its PBEsol-relaxed geometry, with properties calculated at the SCAN level.

## Properties
**Calculated formation energy**: 0.3 eV per formula unit
**Total energy**: -24.773 eV/atom
**Spin magnetization**: 0.31 μB per cell

Geometry as extended XYZ:
```
4
Lattice="3.5203 0.0000 0.0000 0.0000 3.5203 0.0000 0.0000 0.0000 8.9331" Properties=species:S:1:pos:R:3 pbc="T T T"
La 0.0000 0.0000 0.0000
Y 0.0000 0.0000 4.4666
Sc 1.7602 1.7602 2.2578
Sc 1.7602 1.7602 6.6753
```

---

Below is Ba2MgZn2 at its PBEsol-relaxed geometry, with properties calculated at the SCAN level.

## Properties
**Calculated formation energy**: -0.2 eV per formula unit
**Total energy**: -22.264 eV/atom
**Spin magnetization**: 0.07 μB per cell

Geometry as extended XYZ:
```
5
Lattice="-3.1805 3.1805 4.1632 3.1805 -3.1805 4.1632 3.1805 3.1805 -4.1632" Properties=species:S:1:pos:R:3 pbc="T T T"
Ba 3.1805 0.0000 2.0816
Ba 0.0000 3.1805 2.0816
Mg 0.0000 0.0000 0.0000
Zn 0.0000 0.0000 2.9767
Zn 0.0000 0.0000 5.3497
```

---

Below is ZrTcRh at its PBEsol-relaxed geometry, with properties calculated at the SCAN level.

## Properties
**Calculated formation energy**: 0.6 eV per formula unit
**Total energy**: -32.963 eV/atom
**Spin magnetization**: 0.00 μB per cell

Geometry as extended XYZ:
```
3
Lattice="0.0000 3.0186 3.0186 3.0186 0.0000 3.0186 3.0186 3.0186 0.0000" Properties=species:S:1:pos:R:3 pbc="T T T"
Zr 0.0000 0.0000 0.0000
Tc 1.5093 1.5093 1.5093
Rh 3.0186 3.0186 3.0186
```

---

Below is OsRuRh2 at its PBEsol-relaxed geometry, with properties calculated at the SCAN level.

## Properties
**Calculated formation energy**: 0.4 eV per formula unit
**Total energy**: -43.472 eV/atom
**Spin magnetization**: 0.00 μB per cell

Geometry as extended XYZ:
```
4
Lattice="2.6586 0.0000 0.0000 0.0000 3.8270 0.0000 0.0000 0.0000 5.3164" Properties=species:S:1:pos:R:3 pbc="T T T"
Os 0.0000 0.0000 0.0000
Ru 0.0000 0.0000 2.6582
Rh 1.3293 1.9135 1.3282
Rh 1.3293 1.9135 3.9881
```

---

Below is ScP2Cl at its PBEsol-relaxed geometry, with properties calculated at the SCAN level.

## Properties
**ΔE_f (raw)**: -0.3252 eV/atom
**Total energy**: -11.078 eV/atom
**Spin magnetization**: 0.00 μB per cell

Geometry as extended XYZ:
```
4
Lattice="2.3558 -4.8106 0.0000 2.3558 4.8106 0.0000 0.0000 0.0000 3.0883" Properties=species:S:1:pos:R:3 pbc="T T T"
Sc 0.0000 0.0000 0.0000
P 1.1779 2.4053 1.5442
P 1.1779 -2.4053 1.5442
Cl 2.3558 0.0000 0.0000
```